Record 1
Below is a crystal of KHgMo2 relaxed with PBEsol, with properties calculated at the meta-GGA SCAN level.

a = 2.7046 Å, b = 5.1141 Å, c = 6.4801 Å
α = 113.01°, β = 102.05°, γ = 90.00°
Positions (direct):
Hg  0.5000  0.0000  0.0000
K  0.0000  0.5000  0.0000
Mo  0.7790  0.7789  0.5580
Mo  0.2210  0.2211  0.4420

Computed properties:
space group	C2/m
D(E_F)	2.7	states/eV per cell
calculated total energy	-35.5983	eV/atom
formation enthalpy at 0 K	968.0	meV per atom

Record 2
Below is a crystal of KHgMo relaxed with PBEsol, with properties calculated at the meta-GGA SCAN level.

a = 2.8089 Å, b = 2.8089 Å, c = 8.3921 Å
α = 99.63°, β = 99.63°, γ = 90.00°
Positions (direct):
Hg  0.0138  0.0138  0.0276
K  0.3351  0.3351  0.6701
Mo  0.6512  0.6512  0.3023

Computed properties:
space group	I4mm
D(E_F)	2.0	states/eV per cell
calculated total energy	-36.2302	eV/atom
formation enthalpy at 0 K	896.4	meV per atom

Record 3
Below is a crystal of KHgMo2 relaxed with PBEsol, with properties calculated at the meta-GGA SCAN level.

a = 3.9120 Å, b = 3.9120 Å, c = 5.1117 Å
α = 90.00°, β = 90.00°, γ = 90.00°
Positions (direct):
Hg  0.5000  0.5000  0.5000
K  0.0000  0.0000  0.5000
Mo  0.0000  0.5000  0.0000
Mo  0.5000  0.0000  0.0000

Computed properties:
space group	P4/mmm
D(E_F)	3.3	states/eV per cell
calculated total energy	-35.1495	eV/atom
formation enthalpy at 0 K	1416.7	meV per atom

Record 4
Below is a crystal of KHg2MoRu relaxed with PBEsol, with properties calculated at the meta-GGA SCAN level.

a = 5.1734 Å, b = 5.1734 Å, c = 4.7041 Å
α = 90.00°, β = 90.00°, γ = 90.00°
Positions (direct):
K  0.0000  0.0000  0.0000
Ru  0.5000  0.5000  0.5000
Mo  0.0000  0.0000  0.5000
Hg  0.0000  0.5000  0.0000
Hg  0.5000  0.0000  0.0000

Computed properties:
space group	P4/mmm
D(E_F)	3.0	states/eV per cell
calculated total energy	-40.3775	eV/atom
formation enthalpy at 0 K	2496.9	meV per atom

Record 5
Below is a crystal of KHgN2 relaxed with PBEsol, with properties calculated at the meta-GGA SCAN level.

a = 3.4824 Å, b = 3.4824 Å, c = 7.2898 Å
α = 76.18°, β = 76.18°, γ = 60.00°
Positions (direct):
K  0.0000  0.0000  0.0000
Hg  0.5000  0.5000  0.5000
N  0.8798  0.8798  0.3607
N  0.1202  0.1202  0.6393

Computed properties:
formation energy (no corrections)	1.5017	eV/atom
space group	R-3m
D(E_F)	1.5	states/eV per cell
calculated total energy	-22.2676	eV/atom

Record 6
Below is a crystal of KHg2N2 relaxed with PBEsol, with properties calculated at the meta-GGA SCAN level.

a = 4.4186 Å, b = 4.4186 Å, c = 5.9008 Å
α = 111.99°, β = 111.99°, γ = 90.00°
Positions (direct):
K  0.0000  0.0000  0.0000
Hg  0.3099  0.3099  0.6199
Hg  0.6901  0.6901  0.3801
N  0.2500  0.7500  0.5000
N  0.7500  0.2500  0.5000

Computed properties:
formation energy (no corrections)	0.9275	eV/atom
space group	I4/mmm
D(E_F)	1.9	states/eV per cell
calculated total energy	-31.7211	eV/atom